Compound: Mn4CrAs
Source: Alexandria
Functional: SCAN
Structure: single point on PBEsol structure

Results
The value obtained for the size of the total moment is 0.67 μB/atom. Its space group is F-43m, No. 216. The value obtained for the calculated total energy is -18.356 eV/atom.

a b c (Å): 4.6003 4.6003 4.6003
angles (deg): 60.00 60.00 60.00
Closest atoms and distances in Å follow each position.
Sites, in units of the cell vectors:
1 Mn 0.3760 0.3760 0.3760  6 Mn 2.28-2.32
2 Mn 0.3760 0.3760 0.8720  6 Mn 2.28-2.32
3 Mn 0.3760 0.8720 0.3760  6 Mn 2.28-2.32
4 Mn 0.8720 0.3760 0.3760  6 Mn 2.28-2.32
5 Cr 0.0000 0.0000 0.0000  12 Mn 2.70, 4 As 2.82
6 As 0.7500 0.7500 0.7500  12 Mn 2.70, 4 Cr 2.82